Entry 1:
! BeCoAs2 (PBE, optimized geometry); values from VASP
! - D(E_F): 1.95 states/eV/cell
! - Symmetry: Imm2
&SYSTEM
  ibrav = 0, nat = 4, ntyp = 3
/
ATOMIC_SPECIES
Be 9.01 Be.upf
As 74.92 As.upf
Co 58.93 Co.upf
CELL_PARAMETERS angstrom
-1.623 1.134 6.371
1.643 -2.030 6.140
1.892 1.696 -6.169
ATOMIC_POSITIONS crystal
Be 0.432 0.432 0.000
As 0.747 0.247 0.500
As 0.992 0.992 0.000
Co 0.329 0.829 0.500

***

Entry 2:
! BeCoAs2 (PBE, optimized geometry); values from VASP
! - D(E_F): 1.38 states/eV/cell
! - Symmetry: P4/mmm
&SYSTEM
  ibrav = 0, nat = 4, ntyp = 3
/
ATOMIC_SPECIES
As 74.92 As.upf
Co 58.93 Co.upf
Be 9.01 Be.upf
CELL_PARAMETERS angstrom
2.885 0.041 0.000
-0.040 2.885 0.000
0.000 0.000 6.528
ATOMIC_POSITIONS crystal
As 0.000 0.000 0.512
As 0.000 0.000 0.988
Co 0.500 0.500 0.750
Be 0.500 0.500 0.250

***

Entry 3:
! BeCoAs2 (PBE, optimized geometry); values from VASP
! - D(E_F): 5.30 states/eV/cell
! - Symmetry: I-42d
&SYSTEM
  ibrav = 0, nat = 8, ntyp = 3
/
ATOMIC_SPECIES
As 74.92 As.upf
Be 9.01 Be.upf
Co 58.93 Co.upf
CELL_PARAMETERS angstrom
5.266 0.000 0.000
0.000 5.266 0.000
2.633 2.633 5.141
ATOMIC_POSITIONS crystal
As 0.375 0.376 0.750
Be 0.250 0.750 0.500
Co 0.000 0.000 0.000
Co 0.750 0.250 0.500
Be 0.500 0.500 0.000
As 0.624 0.125 0.250
As 0.126 0.625 0.250
As 0.875 0.874 0.750

***

Entry 4:
! BeCoAs3 (PBE, optimized geometry); values from VASP
! - D(E_F): 6.97 states/eV/cell
! - Symmetry: Pm-3m
! - Polymorph energy (0 for the lowest one): 0.0 meV/atom
&SYSTEM
  ibrav = 0, nat = 5, ntyp = 3
/
ATOMIC_SPECIES
As 74.92 As.upf
Be 9.01 Be.upf
Co 58.93 Co.upf
CELL_PARAMETERS angstrom
-1.862 -3.695 -1.922
-0.744 -1.776 4.136
-4.098 2.001 0.123
ATOMIC_POSITIONS crystal
As 0.000 0.500 0.000
As 0.500 0.000 0.000
Be 0.500 0.500 0.500
Co 0.000 0.000 0.000
As 0.000 0.000 0.500

***

Entry 5:
! BeCoAs (PBE, optimized geometry); values from VASP
! - D(E_F): 1.00 states/eV/cell
! - Symmetry: I4mm
! - Polymorph energy (0 for the lowest one): 224.2 meV/atom
&SYSTEM
  ibrav = 0, nat = 3, ntyp = 3
/
ATOMIC_SPECIES
As 74.92 As.upf
Co 58.93 Co.upf
Be 9.01 Be.upf
CELL_PARAMETERS angstrom
6.247 0.020 -0.022
5.649 2.668 -0.026
0.598 0.140 2.644
ATOMIC_POSITIONS crystal
As 0.953 0.953 0.047
Co 0.321 0.321 0.679
Be 0.726 0.726 0.274

***

Entry 6:
! BeCoAs2 (PBE, optimized geometry); values from VASP
! - D(E_F): 2.27 states/eV/cell
! - Symmetry: F-43m
&SYSTEM
  ibrav = 0, nat = 4, ntyp = 3
/
ATOMIC_SPECIES
As 74.92 As.upf
Be 9.01 Be.upf
Co 58.93 Co.upf
CELL_PARAMETERS angstrom
-1.800 -2.336 -3.112
-1.074 -4.085 0.734
-4.131 -1.115 0.272
ATOMIC_POSITIONS crystal
As 0.000 0.000 0.000
Be 0.500 0.500 0.500
Co 0.750 0.750 0.750
As 0.250 0.250 0.250

***

Entry 7:
! BeCoAs2 (PBE, optimized geometry); values from VASP
! - D(E_F): 0.99 states/eV/cell
! - Symmetry: P4mm
&SYSTEM
  ibrav = 0, nat = 4, ntyp = 3
/
ATOMIC_SPECIES
As 74.92 As.upf
Be 9.01 Be.upf
Co 58.93 Co.upf
CELL_PARAMETERS angstrom
-0.001 -0.439 -2.834
1.311 -2.520 0.390
-6.676 -3.392 0.528
ATOMIC_POSITIONS crystal
As 0.000 0.000 0.891
Be 0.000 0.000 0.557
Co 0.500 0.500 0.695
As 0.500 0.500 0.357

***

Entry 8:
! BeCoAs2 (PBE, optimized geometry); values from VASP
! - D(E_F): 1.62 states/eV/cell
! - Symmetry: R-3m
&SYSTEM
  ibrav = 0, nat = 4, ntyp = 3
/
ATOMIC_SPECIES
Be 9.01 Be.upf
Co 58.93 Co.upf
As 74.92 As.upf
CELL_PARAMETERS angstrom
-2.545 -5.996 0.868
-2.321 -5.691 -2.325
0.261 -6.538 -0.606
ATOMIC_POSITIONS crystal
Be 0.250 0.250 0.250
Co 0.750 0.750 0.750
As 0.002 0.002 0.002
As 0.498 0.498 0.498

***

Entry 9:
! BeCoAs2 (PBE, optimized geometry); values from VASP
! - D(E_F): 2.49 states/eV/cell
! - Symmetry: C2/m
&SYSTEM
  ibrav = 0, nat = 4, ntyp = 3
/
ATOMIC_SPECIES
Be 9.01 Be.upf
As 74.92 As.upf
Co 58.93 Co.upf
CELL_PARAMETERS angstrom
3.654 0.020 0.132
2.379 2.773 0.132
1.240 0.574 5.646
ATOMIC_POSITIONS crystal
Be 0.750 0.750 0.750
As 0.501 0.501 0.495
As 0.999 0.999 0.005
Co 0.250 0.250 0.250

***

Entry 10:
! BeCoAs3 (PBE, optimized geometry); values from VASP
! - D(E_F): 4.16 states/eV/cell
! - Symmetry: Pm-3m
! - Polymorph energy (0 for the lowest one): 50.3 meV/atom
&SYSTEM
  ibrav = 0, nat = 5, ntyp = 3
/
ATOMIC_SPECIES
As 74.92 As.upf
Be 9.01 Be.upf
Co 58.93 Co.upf
CELL_PARAMETERS angstrom
4.410 0.000 0.000
0.000 4.410 0.000
0.000 0.000 4.410
ATOMIC_POSITIONS crystal
As 0.500 0.000 0.000
Be 0.000 0.000 0.000
As 0.000 0.000 0.500
As 0.000 0.500 0.000
Co 0.500 0.500 0.500

***

Entry 11:
! BeCoAs2 (PBE, optimized geometry); values from VASP
! - D(E_F): 2.40 states/eV/cell
! - Symmetry: C2/m
&SYSTEM
  ibrav = 0, nat = 4, ntyp = 3
/
ATOMIC_SPECIES
Be 9.01 Be.upf
As 74.92 As.upf
Co 58.93 Co.upf
CELL_PARAMETERS angstrom
4.238 0.009 0.032
-0.969 4.126 0.032
0.342 0.432 3.135
ATOMIC_POSITIONS crystal
Be 0.500 0.000 0.500
As 0.500 0.500 0.000
Co 0.000 0.500 0.500
As 0.000 0.000 0.000

***

Entry 12:
! BeCo3As (PBE, optimized geometry); values from VASP
! - D(E_F): 5.50 states/eV/cell
! - Symmetry: Pm-3m
! - Polymorph energy (0 for the lowest one): 472.7 meV/atom
&SYSTEM
  ibrav = 0, nat = 5, ntyp = 3
/
ATOMIC_SPECIES
Co 58.93 Co.upf
Be 9.01 Be.upf
As 74.92 As.upf
CELL_PARAMETERS angstrom
4.249 0.000 0.000
0.000 4.249 0.000
0.000 0.000 4.249
ATOMIC_POSITIONS crystal
Co 0.000 0.500 0.000
Be 0.500 0.500 0.500
Co 0.500 0.000 0.000
Co 0.000 0.000 0.500
As 0.000 0.000 0.000

***

Listing calculated formation energy for the structures above in their given order: 41.9, 274.3, 125.7, 776.0, 91.4, 546.7, -55.3, 137.4, 152.3, 826.3, 289.8, 896.7 meV/atom.